1.
VASP calculation (PBE-GGA) on MnNi2Br after structural relaxation.

Summary:
Mass density   7.38 Mg/m³
Total DFT energy (no corrections)   -5.09 eV/atom

Geometry as CIF:
```
data_MnNi2Br
_symmetry_space_group_name_H-M 'P m m m'
_symmetry_Int_Tables_number 47
_cell_length_a 3.2943
_cell_length_b 4.0140
_cell_length_c 4.2926
_cell_angle_alpha 90.00
_cell_angle_beta 90.00
_cell_angle_gamma 90.00
loop_
_symmetry_equiv_pos_as_xyz
'x,y,z'
'-x,-y,-z'
'-x,-y,z'
'x,y,-z'
'x,-y,-z'
'-x,y,z'
'-x,y,-z'
'x,-y,z'
loop_
_atom_site_label
_atom_site_type_symbol
_atom_site_fract_x
_atom_site_fract_y
_atom_site_fract_z
_atom_site_occupancy
Mn1 Mn 0.0000 0.0000 0.0000 1
Ni1 Ni 0.0000 0.5000 0.5000 1
Ni2 Ni 0.5000 0.5000 0.0000 1
Br1 Br 0.5000 0.0000 0.5000 1
```



2.
VASP calculation (PBE-GGA) on Sr4YTc after structural relaxation.

Summary:
Mass density   3.61 Mg/m³
Energy of formation   1.10 eV per atom

Geometry as CIF:
```
data_Sr4YTc
_symmetry_space_group_name_H-M 'F -4 3 m'
_symmetry_Int_Tables_number 216
_symmetry_space_group_name_Hall 'F -4 2 3'
_cell_length_a 9.9647
_cell_length_b 9.9647
_cell_length_c 9.9647
_cell_angle_alpha 90.00
_cell_angle_beta 90.00
_cell_angle_gamma 90.00
loop_
_atom_site_label
_atom_site_type_symbol
_atom_site_fract_x
_atom_site_fract_y
_atom_site_fract_z
_atom_site_occupancy
Sr1 Sr 0.1246 0.1246 0.1246 1
Y1 Y 0.0000 0.0000 0.5000 1
Tc1 Tc 0.2500 0.2500 0.7500 1
```



3.
VASP calculation (PBE-GGA) on Tb4As2SeS after structural relaxation.

Summary:
Mass density   7.74 Mg/m³
Total DFT energy (no corrections)   -6.18 eV/atom

Geometry as CIF:
```
data_Tb4As2SeS
_symmetry_space_group_name_H-M 'P 1 2/m 1'
_symmetry_Int_Tables_number 10
_cell_length_a 7.0544
_cell_length_b 4.0880
_cell_length_c 7.0855
_cell_angle_alpha 90.00
_cell_angle_beta 109.63
_cell_angle_gamma 90.00
loop_
_symmetry_equiv_pos_as_xyz
'x,y,z'
'-x,-y,-z'
'-x,y,-z'
'x,-y,z'
loop_
_atom_site_label
_atom_site_type_symbol
_atom_site_fract_x
_atom_site_fract_y
_atom_site_fract_z
_atom_site_occupancy
Tb1 Tb 0.2433 0.0000 0.2425 1
Tb2 Tb 0.2474 0.5000 0.7542 1
As1 As 0.0000 0.0000 0.5000 1
As2 As 0.0000 0.5000 0.0000 1
Se1 Se 0.5000 0.5000 0.5000 1
S1 S 0.5000 0.0000 0.0000 1
```



4.
VASP calculation (PBE-GGA) on KNaSnI2 after structural relaxation.

Summary:
Mass density   2.82 Mg/m³
Total DFT energy (no corrections)   -1.97 eV/atom

Geometry as CIF:
```
data_KNaSnI2
_symmetry_space_group_name_H-M 'P 4/m m m'
_symmetry_Int_Tables_number 123
_symmetry_space_group_name_Hall '-P 4 2'
_cell_length_a 6.3341
_cell_length_b 6.3341
_cell_length_c 6.3729
_cell_angle_alpha 90.00
_cell_angle_beta 90.00
_cell_angle_gamma 90.00
loop_
_atom_site_label
_atom_site_type_symbol
_atom_site_fract_x
_atom_site_fract_y
_atom_site_fract_z
_atom_site_occupancy
K1 K 0.0000 0.0000 0.0000 1
Na1 Na 0.0000 0.0000 0.5000 1
Sn1 Sn 0.5000 0.5000 0.5000 1
I1 I 0.0000 0.5000 0.0000 1
```



| no. | spin magnetization (Bohr magnetons per cell) |
| --- | --- |
| 1 | 4.9 |
| 2 | 8.8 |
| 3 | 0.0 |
| 4 | 1.9 |